No. 1
The following is a DFT calculation (PBE) of a geometry-optimized TbTlSe2 structure.

Symmetry: No. 160

Cell: 4.188 4.188 8.254 Å, 75.30 75.30 60.00°
Element x y z (fractional)
1 Tb 0.667 0.667 0.998
2 Tl 0.498 0.498 0.506
3 Se 0.069 0.069 0.794
4 Se 0.266 0.266 0.201

No. 2
The following is a DFT calculation (PBE) of a geometry-optimized Tb3TlSe structure.

Symmetry: No. 14
N(E_F), states/eV per atom: 0.86
Polymorph energy (0 for the lowest one), kJ per mole of atoms: 12.5

Cell: 6.692 9.290 10.711 Å, 118.40 90.00 90.00°
Element x y z (fractional)
1 Tb 0.088 0.729 0.663
2 Tb 0.912 0.271 0.337
3 Tb 0.588 0.771 0.837
4 Tb 0.412 0.229 0.163
5 Tb 0.580 0.673 0.461
6 Tb 0.420 0.327 0.539
7 Tb 0.080 0.827 0.039
8 Tb 0.920 0.173 0.961
9 Tb 0.134 0.585 0.197
10 Tb 0.866 0.415 0.803
11 Tb 0.634 0.915 0.303
12 Tb 0.366 0.085 0.697
13 Tl 0.834 0.009 0.622
14 Tl 0.166 0.991 0.378
15 Tl 0.334 0.491 0.878
16 Tl 0.666 0.509 0.122
17 Se 0.233 0.487 0.403
18 Se 0.767 0.513 0.597
19 Se 0.733 0.013 0.097
20 Se 0.267 0.987 0.903

No. 3
The following is a DFT calculation (PBE) of a geometry-optimized TbTl2Se3 structure.

Symmetry: No. 12
N(E_F), states/eV per atom: 0.15

Cell: 7.315 8.047 7.324 Å, 81.33 60.04 72.44°
Element x y z (fractional)
1 Tb 0.333 0.000 0.333
2 Tb 0.667 0.000 0.667
3 Tl 0.000 0.000 0.000
4 Tl 0.500 0.500 0.000
5 Tl 0.830 0.500 0.340
6 Tl 0.170 0.500 0.660
7 Se 0.592 0.209 0.339
8 Se 0.732 0.788 0.000
9 Se 0.408 0.791 0.661
10 Se 0.069 0.791 0.339
11 Se 0.931 0.209 0.661
12 Se 0.268 0.212 0.000

No. 4
The following is a DFT calculation (PBE) of a geometry-optimized TbTlSe2 structure.

Symmetry: No. 166

Cell: 8.140 8.140 8.140 Å, 29.93 29.93 29.93°
Element x y z (fractional)
1 Tl 0.500 0.500 0.500
2 Tb 0.000 0.000 0.000
3 Se 0.265 0.265 0.265
4 Se 0.735 0.735 0.735

No. 5
The following is a DFT calculation (PBE) of a geometry-optimized TbTl3Se3 structure.

Symmetry: No. 11

Cell: 4.245 9.062 12.381 Å, 87.08 90.00 90.00°
Element x y z (fractional)
1 Tb 0.250 0.886 0.382
2 Tb 0.750 0.114 0.618
3 Tl 0.250 0.384 0.365
4 Tl 0.750 0.616 0.635
5 Tl 0.250 0.855 0.876
6 Tl 0.750 0.145 0.124
7 Tl 0.250 0.334 0.857
8 Tl 0.750 0.666 0.143
9 Se 0.250 0.333 0.611
10 Se 0.750 0.667 0.389
11 Se 0.250 0.894 0.616
12 Se 0.750 0.106 0.384
13 Se 0.250 0.905 0.148
14 Se 0.750 0.095 0.852

No. 6
The following is a DFT calculation (PBE) of a geometry-optimized Tb6TlSe4 structure.

Symmetry: No. 63
N(E_F), states/eV per atom: 0.73

Cell: 4.069 7.113 20.880 Å, 90.00 90.00 106.62°
Element x y z (fractional)
1 Tb 0.500 0.000 0.000
2 Tb 0.500 0.000 0.500
3 Tb 0.045 0.091 0.337
4 Tb 0.955 0.909 0.663
5 Tb 0.955 0.909 0.837
6 Tb 0.045 0.091 0.163
7 Tb 0.772 0.544 0.414
8 Tb 0.228 0.456 0.586
9 Tb 0.228 0.456 0.914
10 Tb 0.772 0.544 0.086
11 Tb 0.343 0.687 0.250
12 Tb 0.657 0.313 0.750
13 Tl 0.669 0.338 0.250
14 Tl 0.331 0.662 0.750
15 Se 0.862 0.723 0.540
16 Se 0.410 0.820 0.123
17 Se 0.138 0.277 0.460
18 Se 0.590 0.180 0.877
19 Se 0.862 0.723 0.960
20 Se 0.138 0.277 0.040
21 Se 0.590 0.180 0.623
22 Se 0.410 0.820 0.377

No. 7
The following is a DFT calculation (PBE) of a geometry-optimized Tb3TlSe structure.

Symmetry: No. 62
N(E_F), states/eV per atom: 0.81
Polymorph energy (0 for the lowest one), kJ per mole of atoms: 0.0

Cell: 4.044 9.098 15.258 Å, 90.00 90.00 90.00°
Each line ends with the local moment (μB).
Element x y z (fractional)
1 Tb 0.250 0.340 0.522  0.06
2 Tb 0.750 0.799 0.220  0.14
3 Tb 0.750 0.533 0.886  0.17
4 Tb 0.750 0.033 0.614  0.17
5 Tb 0.750 0.660 0.478  0.06
6 Tb 0.250 0.967 0.386  0.17
7 Tb 0.250 0.840 0.978  0.06
8 Tb 0.750 0.299 0.280  0.14
9 Tb 0.250 0.701 0.720  0.14
10 Tb 0.250 0.201 0.780  0.14
11 Tb 0.750 0.160 0.022  0.06
12 Tb 0.250 0.467 0.114  0.17
13 Tl 0.750 0.930 0.823  0.01
14 Tl 0.250 0.070 0.177  0.01
15 Tl 0.750 0.430 0.677  0.01
16 Tl 0.250 0.570 0.323  0.01
17 Se 0.250 0.334 0.945  0.00
18 Se 0.250 0.834 0.555  0.00
19 Se 0.750 0.166 0.445  0.00
20 Se 0.750 0.666 0.055  0.00

No. 8
The following is a DFT calculation (PBE) of a geometry-optimized Tb3TmTl4Se8 structure.

Symmetry: No. 166

Cell: 8.374 9.157 8.374 Å, 117.23 120.00 90.00°
Element x y z (fractional)
1 Tb 0.500 0.500 0.000
2 Tb 0.500 0.500 0.500
3 Tb 0.000 0.500 0.500
4 Tm 0.000 0.500 0.000
5 Tl 0.500 0.000 0.000
6 Tl 0.500 0.000 0.500
7 Tl 0.000 0.000 0.000
8 Tl 0.000 0.000 0.500
9 Se 0.233 0.704 0.971
10 Se 0.233 0.704 0.465
11 Se 0.265 0.295 0.530
12 Se 0.738 0.704 0.971
13 Se 0.262 0.296 0.029
14 Se 0.735 0.705 0.470
15 Se 0.767 0.296 0.535
16 Se 0.767 0.296 0.029

| no. | uncorrected formation energy (eV per formula unit) | volume (Å³/atom) |
| --- | --- | --- |
| 1 | -5.49 | 29.97 |
| 2 | -3.67 | 29.29 |
| 3 | -5.88 | 29.68 |
| 4 | -5.56 | 29.74 |
| 5 | -6.71 | 33.98 |
| 6 | -15.14 | 26.32 |
| 7 | -4.32 | 28.07 |
| 8 | -22.17 | 29.51 |